Version A
VASP calculation (PBE) on a relaxed BaNdEuNbO6 crystal.

a = 6.0176 Å, b = 6.0905 Å, c = 8.5538 Å
α = 90.52°, β = 90.63°, γ = 89.84°
Positions (direct):
O 0.7343 0.6952 0.9437
O 0.1987 0.7630 0.0420
O 0.6829 0.7229 0.5534
O 0.2290 0.8071 0.4695
Nb 0.0000 0.5000 0.0000
O 0.5681 0.9505 0.2697
O 0.1002 0.5019 0.7707
Nd 0.0000 0.5000 0.5000
Ba 0.9946 0.9700 0.7497
O 0.7710 0.1929 0.5305
Ba 0.0054 0.0300 0.2503
O 0.4319 0.0495 0.7303
Nd 0.5000 0.0000 0.0000
Eu 0.4868 0.5406 0.2522
O 0.8013 0.2370 0.9580
Nb 0.5000 0.0000 0.5000
O 0.8998 0.4981 0.2293
O 0.2657 0.3048 0.0563
Eu 0.5132 0.4594 0.7478
O 0.3171 0.2771 0.4466

Properties
Space group: P-1



Version B
VASP calculation (PBE) on a relaxed BaNdEuNbO6 crystal.

a = 6.1246 Å, b = 6.1246 Å, c = 6.1246 Å
α = 60.00°, β = 60.00°, γ = 60.00°
Positions (direct):
O 0.7672 0.2328 0.2328
O 0.2328 0.7672 0.2328
Ba 0.2500 0.2500 0.2500
O 0.2328 0.2328 0.7672
Eu 0.7500 0.7500 0.7500
Nd 0.5000 0.5000 0.5000
Nb 0.0000 0.0000 0.0000
O 0.7672 0.7672 0.2328
O 0.7672 0.2328 0.7672
O 0.2328 0.7672 0.7672

Properties
Space group: F-43m



What should be chosen as the most stable of them? Choose version A.